(1)
Entry from Alexandria: a geometry-optimized Hf3ScF structure (PBE).

a = 5.063 Å, b = 5.063 Å, c = 5.063 Å
α = 90.00°, β = 90.00°, γ = 90.00°
Atoms (fractional coordinates):
Sc 0.000 0.000 0.000
Hf 0.000 0.500 0.000
Hf 0.000 0.000 0.500
Hf 0.500 0.000 0.000
F 0.500 0.500 0.500

Output
Calculated volume (Å³/f.u.): 130
E_form (uncorrected) (eV/atom): 1.18
Space group: No. 221

(2)
Entry from Alexandria: a geometry-optimized HfScF structure (PBE).

a = 3.205 Å, b = 3.205 Å, c = 13.260 Å
α = 75.99°, β = 75.99°, γ = 60.00°
Atoms (fractional coordinates):
Hf 0.477 0.477 0.254
Hf 0.277 0.277 0.054
Sc 0.675 0.675 0.455
Sc 0.078 0.078 0.853
F 0.279 0.279 0.550
F 0.474 0.474 0.758

Output
Calculated volume (Å³/f.u.): 57
E_form (uncorrected) (eV/atom): -1.62
Space group: No. 166

| no. | E (Ha/atom) |
| --- | --- |
| 1 | -0.2364 |
| 2 | -0.2818 |